# LiCuGe2 PBE-GGA optimized geometry
# E_form = -0.051 eV per atom
# E above lowest polymorph = 0.0159 eV per atom
# DOS(E_F) = 0.250 states/eV per atom
# total magnetization = 0.00 μB per cell
# space group = R-3m, No. 166
# V = 65.8 Å³ per cell
data_LiCuGe2
_chemical_formula_sum 'Li1 Cu1 Ge2'
_space_group_name_H-M_alt 'P 1'
_space_group_IT_number 1
_cell_length_a 4.120
_cell_length_b 4.120
_cell_length_c 5.072
_cell_angle_alpha 66.04
_cell_angle_beta 66.04
_cell_angle_gamma 60.00
loop_
_space_group_symop_operation_xyz
'x,y,z'
loop_
_atom_site_label
_atom_site_type_symbol
_atom_site_fract_x
_atom_site_fract_y
_atom_site_fract_z
_atom_site_occupancy
Ge1 Ge 0.268 0.268 0.195 1
Ge2 Ge 0.732 0.732 0.805 1
Cu1 Cu 0.000 0.000 0.000 1
Li1 Li 0.500 0.500 0.500 1

***

# Zr6GaOs PBE-GGA optimized geometry
# E_form = -0.222 eV per atom
# DOS(E_F) = 0.906 states/eV per atom
# total magnetization = 0.00 μB per cell
# space group = I4/mmm, No. 139
# V = 166.6 Å³ per cell
data_Zr6GaOs
_chemical_formula_sum 'Zr6 Ga1 Os1'
_space_group_name_H-M_alt 'P 1'
_space_group_IT_number 1
_cell_length_a 8.363
_cell_length_b 4.656
_cell_length_c 8.363
_cell_angle_alpha 73.84
_cell_angle_beta 32.33
_cell_angle_gamma 73.84
loop_
_space_group_symop_operation_xyz
'x,y,z'
loop_
_atom_site_label
_atom_site_type_symbol
_atom_site_fract_x
_atom_site_fract_y
_atom_site_fract_z
_atom_site_occupancy
Zr1 Zr 0.247 0.753 0.247 1
Zr2 Zr 0.890 0.610 0.890 1
Zr3 Zr 0.610 0.890 0.610 1
Zr4 Zr 0.110 0.390 0.110 1
Zr5 Zr 0.753 0.247 0.753 1
Zr6 Zr 0.390 0.110 0.390 1
Os1 Os 0.000 0.000 0.000 1
Ga1 Ga 0.500 0.500 0.500 1